V9Mo4W11: relaxed, GGA-PBE.

a b c (Å): 3.0921 11.3068 11.3068
angles (deg): 111.82 90.00 90.00
Atoms (fractional coordinates):
V 0.5000 0.6279 0.1266
V 0.5000 0.3721 0.8734
V 0.5000 0.1266 0.6279
V 0.5000 0.8734 0.3721
V 0.5000 0.7970 0.9637
V 0.5000 0.2030 0.0363
V 0.5000 0.9637 0.7970
V 0.5000 0.0363 0.2030
V 0.5000 0.5000 0.5000
Mo 0.5000 0.5507 0.7276
Mo 0.5000 0.4493 0.2724
Mo 0.5000 0.7276 0.5507
Mo 0.5000 0.2724 0.4493
W 0.0000 0.5865 0.9253
W 0.0000 0.4135 0.0747
W 0.0000 0.9253 0.5865
W 0.0000 0.0747 0.4135
W 0.0000 0.6645 0.3355
W 0.0000 0.3355 0.6645
W 0.0000 0.8320 0.1680
W 0.0000 0.1680 0.8320
W 0.0000 0.0000 0.0000
W 0.0000 0.7575 0.7575
W 0.0000 0.2425 0.2425

Summary:
SG	No. 65
energy	-11.088	eV per atom
E_form	0.074	eV per atom

V3Mo4W2: relaxed, GGA-PBE.

a b c (Å): 4.8612 7.6364 7.6364
angles (deg): 81.90 85.85 85.85
Atoms (fractional coordinates):
V 0.0100 0.0227 0.1606
V 0.4900 0.8394 0.9773
V 0.9900 0.9773 0.8394
V 0.5100 0.1606 0.0227
V 0.2500 0.5005 0.4995
V 0.7500 0.4995 0.5005
Mo 0.4848 0.8401 0.3010
Mo 0.0152 0.6990 0.1599
Mo 0.5152 0.1599 0.6990
Mo 0.9848 0.3010 0.8401
Mo 0.0465 0.1597 0.5140
Mo 0.4535 0.4860 0.8403
Mo 0.9535 0.8403 0.4860
Mo 0.5465 0.5140 0.1597
W 0.5477 0.1860 0.3516
W 0.9523 0.6484 0.8140
W 0.4523 0.8140 0.6484
W 0.0477 0.3516 0.1860

Summary:
SG	No. 15
energy	-10.563	eV per atom
E_form	0.169	eV per atom

V4Mo4W3: relaxed, GGA-PBE.

a b c (Å): 2.7314 4.3712 14.1674
angles (deg): 81.19 82.72 89.95
Atoms (fractional coordinates):
V 0.7228 0.5447 0.9113
V 0.2772 0.4554 0.0887
V 0.0955 0.8179 0.3638
V 0.9045 0.1821 0.6362
Mo 0.4556 0.0912 0.8181
Mo 0.3648 0.2726 0.4543
Mo 0.6352 0.7274 0.5458
Mo 0.5444 0.9088 0.1819
W 0.1853 0.6362 0.7275
W 0.8148 0.3638 0.2725
W 0.0000 0.0000 0.0000

Summary:
excess energy over the best structure of this formula in the dataset	0	meV/atom
SG	No. 2
energy	-10.893	eV per atom
E_form	-0.106	eV per atom

VMo6W3: relaxed, GGA-PBE.

a b c (Å): 3.0954 9.4132 12.1069
angles (deg): 111.35 90.00 90.00
Atoms (fractional coordinates):
V 0.7500 0.0657 0.7396
V 0.2500 0.9343 0.2604
Mo 0.7500 0.4826 0.6717
Mo 0.2500 0.5174 0.3283
Mo 0.7500 0.7821 0.0545
Mo 0.2500 0.2179 0.9455
Mo 0.7500 0.3727 0.1418
Mo 0.2500 0.6273 0.8582
Mo 0.7500 0.7464 0.3023
Mo 0.2500 0.2536 0.6977
Mo 0.7500 0.1074 0.4812
Mo 0.2500 0.8926 0.5188
Mo 0.7500 0.7866 0.7231
Mo 0.2500 0.2134 0.2769
W 0.7500 0.4183 0.9012
W 0.2500 0.5817 0.0988
W 0.7500 0.6359 0.5102
W 0.2500 0.3641 0.4898
W 0.7500 0.0728 0.0963
W 0.2500 0.9272 0.9037

Summary:
excess energy over the best structure of this formula in the dataset	419	meV/atom
SG	No. 11
energy	-10.942	eV per atom
E_form	0.355	eV per atom

V2MoW6: relaxed, GGA-PBE.

a b c (Å): 4.4503 4.4503 8.1615
angles (deg): 90.00 90.00 60.00
Atoms (fractional coordinates):
V 0.3334 0.3334 0.9457
V 0.6666 0.6666 0.0543
Mo 0.0000 0.0000 0.5000
W 0.0001 0.0001 0.8374
W 0.3333 0.3333 0.2727
W 0.6667 0.6667 0.7273
W 0.3334 0.3334 0.6133
W 0.6666 0.6666 0.3867
W 0.9999 0.9999 0.1626

Summary:
excess energy over the best structure of this formula in the dataset	0	meV/atom
SG	No. 164
energy	-11.930	eV per atom
E_form	-0.065	eV per atom

V2Mo3W3: relaxed, GGA-PBE.

a b c (Å): 3.1355 4.4711 9.2000
angles (deg): 104.06 99.81 90.00
Atoms (fractional coordinates):
V 0.7508 0.2508 0.5016
V 0.2492 0.7492 0.4984
Mo 0.6282 0.6282 0.2565
Mo 0.3718 0.3718 0.7435
Mo 0.5000 0.0000 0.0000
W 0.1284 0.1284 0.2568
W 0.0000 0.5000 0.0000
W 0.8716 0.8716 0.7432

Summary:
excess energy over the best structure of this formula in the dataset	0	meV/atom
SG	No. 71
energy	-11.272	eV per atom
E_form	-0.073	eV per atom

V8MoW6: relaxed, GGA-PBE.

a b c (Å): 7.0024 7.0024 6.7737
angles (deg): 58.88 58.88 60.00
Atoms (fractional coordinates):
V 0.8810 0.3835 0.6152
V 0.8796 0.1190 0.3848
V 0.6165 0.8796 0.3848
V 0.2464 0.2464 0.2607
V 0.7536 0.7536 0.7393
V 0.3835 0.1204 0.6152
V 0.1204 0.8810 0.6152
V 0.1190 0.6165 0.3848
Mo 0.0000 0.0000 0.0000
W 0.8604 0.6201 0.1400
W 0.6204 0.1396 0.8600
W 0.3799 0.6204 0.8600
W 0.6201 0.3796 0.1400
W 0.3796 0.8604 0.1400
W 0.1396 0.3799 0.8600

Summary:
SG	No. 148
energy	-10.534	eV per atom
E_form	0.233	eV per atom

VMoW5: relaxed, GGA-PBE.

a b c (Å): 6.9340 6.9340 6.1458
angles (deg): 63.80 63.80 79.21
Atoms (fractional coordinates):
V 0.0002 0.4998 0.2500
V 0.9998 0.5002 0.7500
Mo 0.0000 0.0000 0.0000
Mo 0.5000 0.5000 0.5000
W 0.2457 0.2551 0.0118
W 0.2453 0.7454 0.7544
W 0.7551 0.7457 0.5118
W 0.4999 0.0001 0.2500
W 0.7546 0.2547 0.7456
W 0.2454 0.7453 0.2544
W 0.5001 0.9999 0.7500
W 0.2449 0.2543 0.4882
W 0.7547 0.2546 0.2456
W 0.7543 0.7449 0.9882

Summary:
SG	No. 15
energy	-11.669	eV per atom
E_form	0.433	eV per atom

V6Mo12W: relaxed, GGA-PBE.

a b c (Å): 7.0572 7.0572 7.0572
angles (deg): 103.64 103.64 103.64
Atoms (fractional coordinates):
V 0.8129 0.2139 0.8129
V 0.8129 0.8129 0.2139
V 0.2139 0.8129 0.8129
V 0.1871 0.1871 0.7861
V 0.1871 0.7861 0.1871
V 0.7861 0.1871 0.1871
Mo 0.8627 0.1373 0.5000
Mo 0.4581 0.2068 0.4581
Mo 0.4581 0.4581 0.2068
Mo 0.7932 0.5419 0.5419
Mo 0.5419 0.5419 0.7932
Mo 0.5419 0.7932 0.5419
Mo 0.5000 0.8627 0.1373
Mo 0.1373 0.5000 0.8627
Mo 0.1373 0.8627 0.5000
Mo 0.5000 0.1373 0.8627
Mo 0.8627 0.5000 0.1373
Mo 0.2068 0.4581 0.4581
W 0.0000 0.0000 0.0000

Summary:
excess energy over the best structure of this formula in the dataset	476	meV/atom
SG	No. 166
energy	-9.641	eV per atom
E_form	0.761	eV per atom

V12MoW6: relaxed, GGA-PBE.

a b c (Å): 6.6259 6.6259 6.6259
angles (deg): 89.07 89.07 89.07
Atoms (fractional coordinates):
V 0.4808 0.1889 0.5720
V 0.1889 0.5720 0.4808
V 0.5720 0.4808 0.1889
V 0.5192 0.8111 0.4280
V 0.8111 0.4280 0.5192
V 0.4280 0.5192 0.8111
V 0.8566 0.9332 0.6186
V 0.3814 0.1434 0.0668
V 0.0668 0.3814 0.1434
V 0.1434 0.0668 0.3814
V 0.6186 0.8566 0.9332
V 0.9332 0.6186 0.8566
Mo 0.0000 0.0000 0.0000
W 0.1219 0.2733 0.7307
W 0.7267 0.2693 0.8781
W 0.2693 0.8781 0.7267
W 0.8781 0.7267 0.2693
W 0.2733 0.7307 0.1219
W 0.7307 0.1219 0.2733

Summary:
SG	No. 148
energy	-10.153	eV per atom
E_form	0.267	eV per atom

V3Mo6W2: relaxed, GGA-PBE.

a b c (Å): 2.6979 4.4046 14.9166
angles (deg): 98.49 105.27 90.00
Atoms (fractional coordinates):
V 0.0000 0.0000 0.0000
V 0.1918 0.8171 0.6342
V 0.8082 0.1829 0.3658
Mo 0.1943 0.0941 0.1881
Mo 0.0153 0.6396 0.2792
Mo 0.8057 0.9059 0.8119
Mo 0.9847 0.3604 0.7208
Mo 0.5984 0.7281 0.4561
Mo 0.4016 0.2719 0.5439
W 0.5748 0.4543 0.9085
W 0.4252 0.5457 0.0915

Summary:
SG	No. 12
energy	-10.759	eV per atom
E_form	-0.009	eV per atom

VMoW6: relaxed, GGA-PBE.

a b c (Å): 7.1393 7.1388 5.0481
angles (deg): 44.94 44.95 59.94
Atoms (fractional coordinates):
V 0.5000 0.5000 0.5000
Mo 0.0000 0.0000 0.0000
W 0.9997 0.5000 0.7521
W 0.7481 0.0000 0.7520
W 0.5001 0.2519 0.2481
W 0.2519 0.0000 0.2480
W 0.0003 0.5000 0.2479
W 0.4999 0.7481 0.7519

Summary:
excess energy over the best structure of this formula in the dataset	130	meV/atom
SG	No. 148
energy	-12.140	eV per atom
E_form	0.069	eV per atom